Computed, not measured: a geometry-optimized Dy2YHo6Er structure at the GGA-PBE level of DFT.

Properties
Space-group type: C2/c, No. 15
DOS at the Fermi energy: 13.63 states/eV/f.u.
ΔE_f: 117.1 meV per atom
Calculated total energy: -4.6526 eV/atom

a b c (Å): 9.505 8.734 8.734
angles (deg): 118.22 93.93 93.93
Sites, in units of the cell vectors:
1 Ho 0.556 0.750 0.127
2 Ho 0.814 0.429 0.980
3 Ho 0.380 0.502 0.289
4 Ho 0.620 0.498 0.711
5 Ho 0.186 0.571 0.020
6 Ho 0.314 0.980 0.429
7 Ho 0.120 0.711 0.498
8 Ho 0.944 0.873 0.250
9 Ho 0.880 0.289 0.502
10 Ho 0.056 0.127 0.750
11 Ho 0.686 0.020 0.571
12 Ho 0.444 0.250 0.873
13 Dy 0.044 0.305 0.197
14 Dy 0.956 0.695 0.803
15 Dy 0.544 0.197 0.305
16 Dy 0.456 0.803 0.695
17 Y 0.750 0.022 0.978
18 Y 0.250 0.978 0.022
19 Er 0.750 0.591 0.409
20 Er 0.250 0.409 0.591